[1]
Entry from Alexandria via LeMat-Bulk: Fe2BTe after structural relaxation (PBE).

Values from the calculation:
E above lowest polymorph in meV/atom: 0.0
Total magnetic moment in μB/f.u.: 3.0
Formation energy without anion corrections in kJ per mole of atoms: 46.3

Cell and atoms, written as CIF:
```
data_Fe2BTe
_space_group_name_H-M_alt 'I -4 2 d'
_space_group_IT_number 122
_space_group_name_Hall 'I -4 2bw'
_cell_length_a 4.5521
_cell_length_b 4.5521
_cell_length_c 12.0171
_cell_angle_alpha 90.00
_cell_angle_beta 90.00
_cell_angle_gamma 90.00
loop_
_atom_site_label
_atom_site_type_symbol
_atom_site_fract_x
_atom_site_fract_y
_atom_site_fract_z
Fe1 Fe 0.1148 0.2500 0.1250
B1 B 0.0000 0.0000 0.0000
Te1 Te 0.0000 0.0000 0.5000
```

***

[2]
Entry from Alexandria via LeMat-Bulk: Zn2CoHg after structural relaxation (PBE).

Values from the calculation:
Total magnetic moment in μB/f.u.: 0.8
E_form in kJ/mol of formula units: 67.6

Cell and atoms, written as CIF:
```
data_Zn2CoHg
_space_group_name_H-M_alt 'P 4/m m m'
_space_group_IT_number 123
_space_group_name_Hall '-P 4 2'
_cell_length_a 3.9182
_cell_length_b 3.9182
_cell_length_c 3.9082
_cell_angle_alpha 90.00
_cell_angle_beta 90.00
_cell_angle_gamma 90.00
loop_
_atom_site_label
_atom_site_type_symbol
_atom_site_fract_x
_atom_site_fract_y
_atom_site_fract_z
Zn1 Zn 0.0000 0.5000 0.0000
Co1 Co 0.0000 0.0000 0.5000
Hg1 Hg 0.5000 0.5000 0.5000
```

***

Question: Which of these has the highest total magnetic moment?
Answer: Fe2BTe

***

Copy entry 1 word for word.
Entry from Alexandria via LeMat-Bulk: Fe2BTe after structural relaxation (PBE).

Values from the calculation:
E above lowest polymorph in meV/atom: 0.0
Total magnetic moment in μB/f.u.: 3.0
Formation energy without anion corrections in kJ per mole of atoms: 46.3

Cell and atoms, written as CIF:
```
data_Fe2BTe
_space_group_name_H-M_alt 'I -4 2 d'
_space_group_IT_number 122
_space_group_name_Hall 'I -4 2bw'
_cell_length_a 4.5521
_cell_length_b 4.5521
_cell_length_c 12.0171
_cell_angle_alpha 90.00
_cell_angle_beta 90.00
_cell_angle_gamma 90.00
loop_
_atom_site_label
_atom_site_type_symbol
_atom_site_fract_x
_atom_site_fract_y
_atom_site_fract_z
Fe1 Fe 0.1148 0.2500 0.1250
B1 B 0.0000 0.0000 0.0000
Te1 Te 0.0000 0.0000 0.5000
```

***

Question: Look up the total magnetic moment of the first one.
Answer: 3.0 μB/f.u.

***

Question: Which of these has the highest total magnetic moment?
Answer: Fe2BTe